Arrangement 1

LiAgO4 | PBE | relaxed

Lattice parameters (Å, degrees): 3.750 8.086 8.266 90.94 90.02 90.02
Sites, in units of the cell vectors:
Li: 0.005 0.248 0.001
Li: 0.006 0.252 0.500
Li: 0.994 0.748 0.500
Li: 0.995 0.752 0.999
Ag: 0.499 0.500 0.751
Ag: 0.500 0.000 0.252
Ag: 0.500 0.000 0.748
Ag: 0.501 0.500 0.249
O: 0.001 0.165 0.750
O: 0.002 0.335 0.751
O: 0.004 0.165 0.244
O: 0.004 0.335 0.256
O: 0.493 0.836 0.501
O: 0.494 0.664 0.999
O: 0.495 0.665 0.499
O: 0.496 0.835 0.001
O: 0.504 0.165 0.999
O: 0.505 0.335 0.501
O: 0.506 0.336 0.001
O: 0.507 0.164 0.499
O: 0.996 0.665 0.744
O: 0.996 0.835 0.756
O: 0.998 0.665 0.249
O: 0.999 0.835 0.250

Symmetry: No. 2
Calculated volume, Å³/cell: 250.6
Crystal system: triclinic



Arrangement 2

LiAgO4 | PBE | relaxed

Lattice parameters (Å, degrees): 3.307 4.585 4.586 92.49 90.59 90.44
Sites, in units of the cell vectors:
Li: 0.000 0.000 0.000
Ag: 0.537 0.497 0.498
O: 0.030 0.307 0.309
O: 0.038 0.688 0.689
O: 0.499 0.097 0.896
O: 0.500 0.894 0.095

Symmetry: No. 1
Calculated volume, Å³/cell: 69.5
Crystal system: triclinic



Most stable to least stable: arrangement 1, arrangement 2



Arrangement 1

LiAgO4 | PBE | relaxed

Lattice parameters (Å, degrees): 5.119 10.351 11.327 110.56 99.63 98.40
Sites, in units of the cell vectors:
Li: 0.000 0.000 0.000
Li: 0.000 0.342 0.056
Li: 0.240 0.347 0.398
Li: 0.382 0.527 0.685
Li: 0.418 0.901 0.711
Li: 0.427 0.835 0.969
Li: 0.617 0.544 0.994
Li: 0.915 0.064 0.722
Ag: 0.309 0.981 0.484
Ag: 0.464 0.189 0.958
Ag: 0.550 0.716 0.482
Ag: 0.575 0.437 0.229
Ag: 0.740 0.150 0.223
Ag: 0.836 0.448 0.498
Ag: 0.894 0.703 0.751
Ag: 0.979 0.898 0.217
O: 0.015 0.811 0.031
O: 0.023 0.925 0.816
O: 0.101 0.233 0.891
O: 0.110 0.736 0.435
O: 0.137 0.316 0.794
O: 0.138 0.371 0.552
O: 0.192 0.158 0.270
O: 0.205 0.592 0.936
O: 0.254 0.663 0.824
O: 0.264 0.511 0.175
O: 0.277 0.080 0.670
O: 0.302 0.150 0.167
O: 0.312 0.969 0.883
O: 0.355 0.896 0.301
O: 0.377 0.385 0.815
O: 0.487 0.696 0.264
O: 0.501 0.499 0.409
O: 0.525 0.721 0.672
O: 0.530 0.152 0.740
O: 0.544 0.180 0.470
O: 0.626 0.928 0.578
O: 0.632 0.940 0.139
O: 0.655 0.394 0.053
O: 0.705 0.693 0.225
O: 0.749 0.496 0.671
O: 0.756 0.168 0.427
O: 0.765 0.723 0.963
O: 0.805 0.149 0.038
O: 0.889 0.368 0.309
O: 0.931 0.981 0.398
O: 0.977 0.510 0.909
O: 0.995 0.729 0.529

Symmetry: No. 1
Calculated volume, Å³/cell: 540.2
Crystal system: triclinic



Arrangement 2

LiAgO4 | PBE | relaxed

Lattice parameters (Å, degrees): 4.281 5.915 5.251 90.00 93.00 90.00
Sites, in units of the cell vectors:
Li: 0.000 0.176 0.250
Li: 0.000 0.824 0.750
Ag: 0.500 0.368 0.750
Ag: 0.500 0.632 0.250
O: 0.120 0.140 0.840
O: 0.120 0.860 0.340
O: 0.262 0.378 0.418
O: 0.262 0.622 0.918
O: 0.738 0.378 0.082
O: 0.738 0.622 0.582
O: 0.880 0.140 0.660
O: 0.880 0.860 0.160

Symmetry: No. 13
Calculated volume, Å³/cell: 132.8
Crystal system: monoclinic



Most stable to least stable: arrangement 1, arrangement 2